Ce2PuScSb4 (PBE, relaxed); spin magnetization = 6.82 μB/f.u.; formation energy from raw total energies = -20.64 kcal/mol of atoms; crystal system = monoclinic; VASP energy = -7.02 eV per atom
1.0
-3.8086 1.8568 1.2396
-3.0205 -6.9346 1.1070
3.2548 2.4044 6.3989
Ce Pu Sc Sb
2 1 1 4
direct
0.5000 0.0000 0.5000
0.0000 0.5000 0.5000
0.5000 0.5000 0.0000
0.0000 0.0000 0.0000
0.5000 0.2370 0.2353
0.5000 0.7630 0.7647
0.0000 0.2448 0.7594
0.0000 0.7552 0.2406